Compound: Pm6Sm5Ho
Source: Alexandria via LeMat-Bulk
Functional: PBE
Structure: optimized geometry

```
data_Pm6Sm5Ho
_chemical_formula_sum 'Pm6 Sm5 Ho1'
_cell_length_a 6.291
_cell_length_b 6.291
_cell_length_c 12.033
_cell_angle_alpha 95.01
_cell_angle_beta 95.01
_cell_angle_gamma 119.98
_space_group_name_H-M_alt 'P 1'
_space_group_IT_number 1
loop_
_space_group_symop_operation_xyz
'x,y,z'
loop_
_atom_site_label
_atom_site_fract_x
_atom_site_fract_y
_atom_site_fract_z
_atom_site_occupancy
Pm1 0.083 0.415 0.249 1
Pm2 0.250 0.250 0.751 1
Pm3 0.415 0.083 0.249 1
Pm4 0.585 0.917 0.751 1
Pm5 0.750 0.750 0.249 1
Pm6 0.917 0.585 0.751 1
Sm1 0.167 0.833 0.500 1
Sm2 0.333 0.667 0.000 1
Sm3 0.500 0.500 0.500 1
Sm4 0.667 0.333 0.000 1
Sm5 0.833 0.167 0.500 1
Ho1 0.000 0.000 0.000 1
```

Values from the calculation:
Its density is 7.30 g/cm3. The value obtained for the formation energy is 0.013 eV per atom. The calculation puts the total moment at 0.00 μB per formula unit. The volume comes out at 406.2 Å³/f.u.

Compound: PuTh2Zr
Source: Alexandria via LeMat-Bulk
Functional: PBE
Structure: optimized geometry

```
data_PuTh2Zr
_chemical_formula_sum 'Pu1 Th2 Zr1'
_cell_length_a 11.207
_cell_length_b 11.207
_cell_length_c 11.207
_cell_angle_alpha 17.70
_cell_angle_beta 17.70
_cell_angle_gamma 17.70
_space_group_name_H-M_alt 'P 1'
_space_group_IT_number 1
loop_
_space_group_symop_operation_xyz
'x,y,z'
loop_
_atom_site_label
_atom_site_fract_x
_atom_site_fract_y
_atom_site_fract_z
_atom_site_occupancy
Pu1 0.000 0.000 0.000 1
Th1 0.420 0.420 0.420 1
Th2 0.585 0.585 0.585 1
Zr1 0.170 0.170 0.170 1
```

Values from the calculation:
Its density is 11.68 g/cm3. For the distance to the lowest polymorph of the same formula, the calculation gives 0.22 eV/f.u. The value obtained for the formation energy is 0.150 eV per atom. The calculation puts the total moment at 5.57 μB per formula unit. The volume comes out at 113.6 Å³/f.u.

Compound: BeTc2
Source: Alexandria via LeMat-Bulk
Functional: PBE
Structure: optimized geometry

```
data_BeTc2
_chemical_formula_sum 'Be4 Tc8'
_cell_length_a 5.096
_cell_length_b 5.096
_cell_length_c 7.950
_cell_angle_alpha 90.00
_cell_angle_beta 90.00
_cell_angle_gamma 120.00
_space_group_name_H-M_alt 'P 1'
_space_group_IT_number 1
loop_
_space_group_symop_operation_xyz
'x,y,z'
loop_
_atom_site_label
_atom_site_fract_x
_atom_site_fract_y
_atom_site_fract_z
_atom_site_occupancy
Be1 0.333 0.667 0.083 1
Be2 0.333 0.667 0.417 1
Be3 0.667 0.333 0.583 1
Be4 0.667 0.333 0.917 1
Tc1 0.000 0.000 0.000 1
Tc2 0.000 0.000 0.500 1
Tc3 0.176 0.352 0.750 1
Tc4 0.176 0.824 0.750 1
Tc5 0.352 0.176 0.250 1
Tc6 0.648 0.824 0.750 1
Tc7 0.824 0.176 0.250 1
Tc8 0.824 0.648 0.250 1
```

Values from the calculation:
Its density is 7.62 g/cm3. For the distance to the lowest polymorph of the same formula, the calculation gives 2.57 eV/f.u. The value obtained for the formation energy is 0.588 eV per atom. The calculation puts the total moment at 0.00 μB per formula unit. The volume comes out at 44.7 Å³/f.u.

Compound: Pm4ScPb5
Source: Alexandria via LeMat-Bulk
Functional: PBE
Structure: optimized geometry

```
data_Pm4ScPb5
_chemical_formula_sum 'Pm4 Sc1 Pb5'
_cell_length_a 3.544
_cell_length_b 3.544
_cell_length_c 22.753
_cell_angle_alpha 90.00
_cell_angle_beta 90.00
_cell_angle_gamma 90.00
_space_group_name_H-M_alt 'P 1'
_space_group_IT_number 1
loop_
_space_group_symop_operation_xyz
'x,y,z'
loop_
_atom_site_label
_atom_site_fract_x
_atom_site_fract_y
_atom_site_fract_z
_atom_site_occupancy
Pm1 0.000 0.000 0.102 1
Pm2 0.000 0.000 0.307 1
Pm3 0.000 0.000 0.693 1
Pm4 0.000 0.000 0.898 1
Sc1 0.000 0.000 0.500 1
Pb1 0.500 0.500 0.000 1
Pb2 0.500 0.500 0.205 1
Pb3 0.500 0.500 0.410 1
Pb4 0.500 0.500 0.590 1
Pb5 0.500 0.500 0.795 1
```

Values from the calculation:
Its density is 9.65 g/cm3. The value obtained for the formation energy is -0.464 eV per atom. The calculation puts the total moment at 0.15 μB per formula unit. The volume comes out at 285.8 Å³/f.u.

Compound: NdErRh
Source: Alexandria via LeMat-Bulk
Functional: PBE
Structure: optimized geometry

```
data_NdErRh
_chemical_formula_sum 'Nd1 Er1 Rh1'
_cell_length_a 4.066
_cell_length_b 4.066
_cell_length_c 6.232
_cell_angle_alpha 90.00
_cell_angle_beta 90.00
_cell_angle_gamma 120.00
_space_group_name_H-M_alt 'P 1'
_space_group_IT_number 1
loop_
_space_group_symop_operation_xyz
'x,y,z'
loop_
_atom_site_label
_atom_site_fract_x
_atom_site_fract_y
_atom_site_fract_z
_atom_site_occupancy
Nd1 0.000 0.000 0.000 1
Er1 0.667 0.333 0.479 1
Rh1 0.333 0.667 0.254 1
```

Values from the calculation:
Its density is 7.71 g/cm3. For the distance to the lowest polymorph of the same formula, the calculation gives 0.18 eV/f.u. The value obtained for the formation energy is -0.477 eV per atom. The calculation puts the total moment at 0.00 μB per formula unit. The volume comes out at 89.2 Å³/f.u.

Compound: NaTl2BiF
Source: Alexandria via LeMat-Bulk
Functional: PBE
Structure: optimized geometry

```
data_NaTl2BiF
_chemical_formula_sum 'Na1 Tl2 Bi1 F1'
_cell_length_a 5.627
_cell_length_b 5.627
_cell_length_c 4.271
_cell_angle_alpha 90.00
_cell_angle_beta 90.00
_cell_angle_gamma 90.00
_space_group_name_H-M_alt 'P 1'
_space_group_IT_number 1
loop_
_space_group_symop_operation_xyz
'x,y,z'
loop_
_atom_site_label
_atom_site_fract_x
_atom_site_fract_y
_atom_site_fract_z
_atom_site_occupancy
Na1 0.000 0.000 0.000 1
Tl1 0.000 0.500 0.500 1
Tl2 0.500 0.000 0.500 1
Bi1 0.500 0.500 0.000 1
F1 0.000 0.000 0.500 1
```

Values from the calculation:
Its density is 8.10 g/cm3. The raw formation energy comes out at -0.860 eV per atom. The calculation puts the total moment at 0.00 μB per formula unit. The volume comes out at 135.2 Å³/f.u.

Compound: SrTc2Mo
Source: Alexandria via LeMat-Bulk
Functional: PBE
Structure: optimized geometry

```
data_SrTc2Mo
_chemical_formula_sum 'Sr1 Tc2 Mo1'
_cell_length_a 5.541
_cell_length_b 5.541
_cell_length_c 2.720
_cell_angle_alpha 100.51
_cell_angle_beta 100.51
_cell_angle_gamma 114.45
_space_group_name_H-M_alt 'P 1'
_space_group_IT_number 1
loop_
_space_group_symop_operation_xyz
'x,y,z'
loop_
_atom_site_label
_atom_site_fract_x
_atom_site_fract_y
_atom_site_fract_z
_atom_site_occupancy
Sr1 0.000 0.000 0.000 1
Tc1 0.000 0.500 0.500 1
Tc2 0.500 0.000 0.500 1
Mo1 0.500 0.500 0.000 1
```

Values from the calculation:
Its density is 8.81 g/cm3. For the distance to the lowest polymorph of the same formula, the calculation gives 1.81 eV/f.u. The value obtained for the formation energy is 0.955 eV per atom. The calculation puts the total moment at 0.00 μB per formula unit. The volume comes out at 71.6 Å³/f.u.

Compound: K2ZnSe2
Source: Alexandria via LeMat-Bulk
Functional: PBE
Structure: optimized geometry

```
data_K2ZnSe2
_chemical_formula_sum 'K2 Zn1 Se2'
_cell_length_a 7.829
_cell_length_b 7.829
_cell_length_c 7.829
_cell_angle_alpha 132.08
_cell_angle_beta 132.08
_cell_angle_gamma 70.10
_space_group_name_H-M_alt 'P 1'
_space_group_IT_number 1
loop_
_space_group_symop_operation_xyz
'x,y,z'
loop_
_atom_site_label
_atom_site_fract_x
_atom_site_fract_y
_atom_site_fract_z
_atom_site_occupancy
K1 0.250 0.750 0.500 1
K2 0.750 0.250 0.500 1
Zn1 0.000 0.000 0.000 1
Se1 0.176 0.176 0.000 1
Se2 0.824 0.824 0.000 1
```

Values from the calculation:
Its density is 1.93 g/cm3. The raw formation energy comes out at -0.934 eV per atom. The calculation puts the total moment at 0.00 μB per formula unit. The volume comes out at 259.1 Å³/f.u.